# 1
The following is a PBE calculation of a relaxed NbHgSb2I crystal, from the Alexandria database.

Results
energy above the most stable polymorph in this dataset	1.035	eV/atom
M_tot	0.530	μB per atom
uncorrected formation energy	1278.2	meV/atom
final energy	-2.7551	eV/atom

```
5
Lattice="5.4259 0.0000 0.0000 0.0000 5.4259 0.0000 0.0000 0.0000 5.9329" Properties=species:S:1:pos:R:3 pbc="T T T"
Nb 0.0000 0.0000 0.0000
Hg 2.7129 2.7129 2.9665
Sb 0.0000 2.7129 2.9665
Sb 2.7129 0.0000 2.9665
I 2.7129 2.7129 0.0000
```

***

# 2
The following is a PBE calculation of a relaxed La8TbNd2 crystal, from the Alexandria database.

Results
energy above the most stable polymorph in this dataset	0.000	eV/atom
M_tot	0.000	μB per atom
ΔE_f	0.013	eV per atom
final energy	-4.8580	eV/atom

```
11
Lattice="9.4348 -2.6260 0.0000 9.4348 2.6260 0.0000 -2.1722 0.0000 7.9937" Properties=species:S:1:pos:R:3 pbc="T T T"
La 0.3744 0.0000 1.8202
La 1.0908 0.0000 5.4476
La 4.7416 0.0000 4.7014
La 7.6287 0.0000 0.3799
La 9.0687 0.0000 7.6139
La 11.9557 0.0000 3.2923
La 15.6065 0.0000 2.5461
La 16.3229 0.0000 6.1735
Tb 8.3487 0.0000 3.9969
Nd 3.9775 0.0000 1.0854
Nd 12.7198 0.0000 6.9083
```